# SrCa2DyTe4

SrCa2DyTe4 after structural relaxation (PBE-GGA, Alexandria).

Unit cell a=4.504 b=7.862 c=7.818 alpha=109.26 beta=90.00 gamma=90.00
Positions (direct):
Sr 0.000 0.000 0.000
Ca 0.500 0.000 0.500
Ca 0.000 0.500 0.500
Dy 0.500 0.500 0.000
Te 0.500 0.263 0.255
Te 0.500 0.737 0.745
Te 0.000 0.260 0.752
Te 0.000 0.740 0.248

Output
magnetization = 0.0 μB/cell
E_form (uncorrected) = -1.55 eV per atom
space group = No. 10